*A*
DFT (PBE) results for a relaxed structure of BS2ClO.

Unit cell a=3.8304 b=3.8304 c=6.8342 alpha=90.00 beta=90.00 gamma=90.00
Closest atoms and distances in Å follow each position.
Positions (direct):
S1 0.5000 0.0000 0.0000  2 O 1.92
S2 0.0000 0.5000 0.0000  2 O 1.92
O1 0.0000 0.0000 0.0000  4 S 1.92
Cl1 0.0000 0.0000 0.5000  4 B 2.71
B1 0.5000 0.5000 0.5000  4 Cl 2.71

Computed properties:
density of states at the Fermi level	3.73	states/eV/f.u.

*B*
DFT (PBE) results for a relaxed structure of BS2ClO.

Unit cell a=4.1804 b=4.1804 c=4.0622 alpha=90.00 beta=90.00 gamma=90.00
Closest atoms and distances in Å follow each position.
Positions (direct):
Cl1 0.0000 0.0000 0.5000  2 B 2.03
O1 0.5000 0.5000 0.5000  8 S 2.91, 4 Cl 2.96
S1 0.0000 0.5000 0.0000  2 B 2.09
B1 0.0000 0.0000 0.0000  2 Cl 2.03, 4 S 2.09
S2 0.5000 0.0000 0.0000  2 B 2.09

Computed properties:
density of states at the Fermi level	4.13	states/eV/f.u.

*B* is favored, and the nearest alternative lies 35 meV per atom above it.

*A*
DFT (PBE) results for a relaxed structure of BOs2Cl.

Unit cell a=4.1009 b=4.1009 c=4.1009 alpha=60.00 beta=60.00 gamma=60.00
Closest atoms and distances in Å follow each position.
Positions (direct):
Os1 0.2500 0.2500 0.2500  4 Cl 2.51, 4 B 2.51
Os2 0.7500 0.7500 0.7500  4 B 2.51, 4 Cl 2.51
Cl1 0.5000 0.5000 0.5000  8 Os 2.51
B1 0.0000 0.0000 0.0000  8 Os 2.51

Computed properties:
density of states at the Fermi level	3.52	states/eV/f.u.

*B*
DFT (PBE) results for a relaxed structure of BOs2Cl.

Unit cell a=4.9985 b=4.9985 c=6.1228 alpha=65.91 beta=65.91 gamma=90.00
Closest atoms and distances in Å follow each position.
Positions (direct):
Os1 0.1726 0.6250 0.2500  2 B 2.04
Cl1 0.7500 0.2500 0.5000  4 Os 2.31
B1 0.5000 0.5000 0.0000  4 Os 2.04
Os2 0.8750 0.8274 0.7500  2 B 2.04
Cl2 0.0000 0.0000 0.0000  4 Os 2.31
Os3 0.3750 0.4226 0.7500  2 B 2.04
Os4 0.5774 0.1250 0.2500  2 B 2.04
B2 0.2500 0.7500 0.5000  4 Os 2.04

Computed properties:
density of states at the Fermi level	2.91	states/eV/f.u.

*B* is favored, and the nearest alternative lies 266 meV per atom above it.

*A*
DFT (PBE) results for a relaxed structure of B2OsCl.

Unit cell a=5.1241 b=5.1241 c=6.0692 alpha=65.03 beta=65.03 gamma=90.00
Closest atoms and distances in Å follow each position.
Positions (direct):
Cl1 0.2500 0.7500 0.5000  4 B 2.40
B1 0.6927 0.1250 0.2500  2 Os 2.00
Cl2 0.5000 0.5000 0.0000  4 B 2.40
B2 0.0573 0.6250 0.2500  2 Os 2.00
Os1 0.0000 0.0000 0.0000  4 B 2.00
B3 0.8750 0.9427 0.7500  2 Os 2.00
Os2 0.7500 0.2500 0.5000  4 B 2.00
B4 0.3750 0.3073 0.7500  2 Os 2.00

Computed properties:
density of states at the Fermi level	2.66	states/eV/f.u.

*B*
DFT (PBE) results for a relaxed structure of B2OsCl.

Unit cell a=3.9772 b=3.9772 c=3.9772 alpha=60.00 beta=60.00 gamma=60.00
Closest atoms and distances in Å follow each position.
Positions (direct):
B1 0.2500 0.2500 0.2500  4 Os 2.44, 4 Cl 2.44
Os1 0.5000 0.5000 0.5000  8 B 2.44
Cl1 0.0000 0.0000 0.0000  8 B 2.44
B2 0.7500 0.7500 0.7500  4 Cl 2.44, 4 Os 2.44

Computed properties:
density of states at the Fermi level	6.82	states/eV/f.u.

*A* is favored, and the nearest alternative lies 1263 meV per atom above it.

*A*
DFT (PBE) results for a relaxed structure of BOs2Cl2.

Unit cell a=3.8716 b=3.8716 c=6.2348 alpha=71.91 beta=71.91 gamma=90.00
Closest atoms and distances in Å follow each position.
Positions (direct):
B1 0.0000 0.0000 0.0000  8 Os 2.96
Cl1 0.7500 0.2500 0.5000  4 Os 2.56, 4 Cl 2.74
Os1 0.3992 0.3992 0.2015  1 Os 2.26
Cl2 0.2500 0.7500 0.5000  4 Os 2.56, 4 Cl 2.74
Os2 0.6008 0.6008 0.7985  1 Os 2.26

Computed properties:
density of states at the Fermi level	4.75	states/eV/f.u.

*B*
DFT (PBE) results for a relaxed structure of BOs2Cl2.

Unit cell a=5.6795 b=5.6795 c=4.7772 alpha=90.00 beta=90.00 gamma=90.00
Closest atoms and distances in Å follow each position.
Positions (direct):
B1 0.5000 0.5000 0.0000  4 Os 2.13
Os1 0.1602 0.3398 0.0000  2 B 2.13
Cl1 0.1764 0.3236 0.5000  2 Os 2.39
Cl2 0.3236 0.8236 0.5000  2 Os 2.39
Os2 0.3398 0.8398 0.0000  2 B 2.13
Os3 0.6602 0.1602 0.0000  2 B 2.13
Cl3 0.6764 0.1764 0.5000  2 Os 2.39
B2 0.0000 0.0000 0.0000  4 Os 2.13
Cl4 0.8236 0.6764 0.5000  2 Os 2.39
Os4 0.8398 0.6602 0.0000  2 B 2.13

Computed properties:
density of states at the Fermi level	4.23	states/eV/f.u.

*B* is favored, and the nearest alternative lies 1314 meV per atom above it.

*A*
DFT (PBE) results for a relaxed structure of BP2OsCl.

Unit cell a=4.4980 b=4.4980 c=5.2194 alpha=90.00 beta=90.00 gamma=90.00
Closest atoms and distances in Å follow each position.
Positions (direct):
P1 0.0000 0.5000 0.0000  2 Os 2.25
Os1 0.0000 0.0000 0.0000  4 P 2.25
Cl1 0.0000 0.0000 0.5000  2 Os 2.61
P2 0.5000 0.0000 0.0000  2 Os 2.25
B1 0.5000 0.5000 0.5000  4 Cl 3.18, 8 P 3.45

Computed properties:
density of states at the Fermi level	4.14	states/eV/f.u.

*B*
DFT (PBE) results for a relaxed structure of BP2OsCl.

Unit cell a=3.9855 b=3.9855 c=4.2261 alpha=90.00 beta=90.00 gamma=90.00
Closest atoms and distances in Å follow each position.
Positions (direct):
Cl1 0.0000 0.0000 0.5000  2 B 2.11
P1 0.5000 0.0000 0.0000  2 B 1.99
B1 0.0000 0.0000 0.0000  4 P 1.99, 2 Cl 2.11
P2 0.0000 0.5000 0.0000  2 B 1.99
Os1 0.5000 0.5000 0.5000  4 Cl 2.82, 8 P 2.90

Computed properties:
density of states at the Fermi level	2.55	states/eV/f.u.

*B* is favored, and the nearest alternative lies 83 meV per atom above it.

*A*
DFT (PBE) results for a relaxed structure of B2PCl.

Unit cell a=4.0804 b=4.0804 c=4.0804 alpha=60.00 beta=60.00 gamma=60.00
Closest atoms and distances in Å follow each position.
Positions (direct):
P1 0.0000 0.0000 0.0000  8 B 2.50
Cl1 0.5000 0.5000 0.5000  8 B 2.50
B1 0.7500 0.7500 0.7500  4 P 2.50, 4 Cl 2.50
B2 0.2500 0.2500 0.2500  4 Cl 2.50, 4 P 2.50

Computed properties:
density of states at the Fermi level	1.96	states/eV/f.u.

*B*
DFT (PBE) results for a relaxed structure of B2PCl.

Unit cell a=5.0854 b=5.0854 c=5.6557 alpha=63.28 beta=63.28 gamma=90.00
Closest atoms and distances in Å follow each position.
Positions (direct):
B1 0.3750 0.4534 0.7500  2 P 1.89
B2 0.2034 0.6250 0.2500  2 P 1.89
Cl1 0.7500 0.2500 0.5000  4 B 2.37
P1 0.5000 0.5000 0.0000  4 B 1.89
B3 0.5466 0.1250 0.2500  2 P 1.89
P2 0.2500 0.7500 0.5000  4 B 1.89
B4 0.8750 0.7966 0.7500  2 P 1.89
Cl2 0.0000 0.0000 0.0000  4 B 2.37

Computed properties:
density of states at the Fermi level	1.54	states/eV/f.u.

*B* is favored, and the nearest alternative lies 1123 meV per atom above it.

*A*
DFT (PBE) results for a relaxed structure of BPCl2.

Unit cell a=8.2130 b=8.2130 c=8.2130 alpha=22.96 beta=22.96 gamma=22.96
Closest atoms and distances in Å follow each position.
Positions (direct):
P1 0.0000 0.0000 0.0000  2 Cl 2.36
Cl1 0.0985 0.0985 0.0985  1 P 2.36, 3 B 2.50
Cl2 0.9015 0.9015 0.9015  1 P 2.36, 3 B 2.50
B1 0.5000 0.5000 0.5000  6 Cl 2.50

Computed properties:
density of states at the Fermi level	1.04	states/eV/f.u.

*B*
DFT (PBE) results for a relaxed structure of BPCl2.

Unit cell a=9.6441 b=9.6441 c=9.6441 alpha=18.47 beta=18.47 gamma=18.47
Closest atoms and distances in Å follow each position.
Positions (direct):
Cl1 0.0583 0.0583 0.0583  1 B 1.66
P1 0.5000 0.5000 0.5000  6 P 3.09
B1 0.0000 0.0000 0.0000  2 Cl 1.66
Cl2 0.9417 0.9417 0.9417  1 B 1.66

Computed properties:
density of states at the Fermi level	1.61	states/eV/f.u.

*C*
DFT (PBE) results for a relaxed structure of BPCl2.

Unit cell a=6.3557 b=6.3557 c=6.3578 alpha=60.01 beta=60.01 gamma=90.00
Closest atoms and distances in Å follow each position.
Positions (direct):
P1 0.7500 0.2500 0.5000  12 Cl 3.72-3.73, 4 B 3.89, 4 P 3.89
Cl1 0.3740 0.6250 0.2500  2 B 1.95
B1 0.5000 0.5000 0.0000  4 Cl 1.95
B2 0.2500 0.7500 0.5000  4 Cl 1.95
Cl2 0.3750 0.6240 0.7500  2 B 1.95
Cl3 0.8750 0.6260 0.7500  2 B 1.95
Cl4 0.3760 0.1250 0.2500  2 B 1.95
P2 0.0000 0.0000 0.0000  12 Cl 3.72-3.73, 4 B 3.89, 4 P 3.89

Computed properties:
density of states at the Fermi level	0.68	states/eV/f.u.

*D*
DFT (PBE) results for a relaxed structure of BPCl2.

Unit cell a=4.5793 b=4.5793 c=4.5793 alpha=60.00 beta=60.00 gamma=60.00
Closest atoms and distances in Å follow each position.
Positions (direct):
Cl1 0.7500 0.7500 0.7500  4 B 2.80, 4 P 2.80
Cl2 0.2500 0.2500 0.2500  4 P 2.80, 4 B 2.80
P1 0.5000 0.5000 0.5000  8 Cl 2.80
B1 0.0000 0.0000 0.0000  8 Cl 2.80

Computed properties:
density of states at the Fermi level	4.21	states/eV/f.u.

*B* is favored, and the nearest alternative lies 369 meV per atom above it.

*A*
DFT (PBE) results for a relaxed structure of BP2Cl.

Unit cell a=4.2740 b=4.2740 c=4.2740 alpha=60.00 beta=60.00 gamma=60.00
Closest atoms and distances in Å follow each position.
Positions (direct):
Cl1 0.5000 0.5000 0.5000  8 P 2.62
B1 0.0000 0.0000 0.0000  8 P 2.62
P1 0.7500 0.7500 0.7500  4 Cl 2.62, 4 B 2.62
P2 0.2500 0.2500 0.2500  4 Cl 2.62, 4 B 2.62

Computed properties:
density of states at the Fermi level	1.82	states/eV/f.u.

*B*
DFT (PBE) results for a relaxed structure of BP2Cl.

Unit cell a=5.6983 b=5.6983 c=5.8547 alpha=60.88 beta=60.88 gamma=90.00
Closest atoms and distances in Å follow each position.
Positions (direct):
Cl1 0.7500 0.2500 0.5000  4 P 2.69
B1 0.2500 0.7500 0.5000  4 P 1.96
P1 0.8750 0.7701 0.7500  2 B 1.96
P2 0.3750 0.4799 0.7500  2 B 1.96
P3 0.2299 0.6250 0.2500  2 B 1.96
P4 0.5201 0.1250 0.2500  2 B 1.96
Cl2 0.0000 0.0000 0.0000  4 P 2.69
B2 0.5000 0.5000 0.0000  4 P 1.96

Computed properties:
density of states at the Fermi level	1.37	states/eV/f.u.

*B* is favored, and the nearest alternative lies 930 meV per atom above it.

*A*
DFT (PBE) results for a relaxed structure of BP2PbCl.

Unit cell a=4.0848 b=4.0848 c=8.9944 alpha=90.00 beta=90.00 gamma=90.00
Closest atoms and distances in Å follow each position.
Positions (direct):
B1 0.0000 0.0000 0.0000  4 P 2.04
P1 0.5000 0.0000 0.0000  2 B 2.04
P2 0.0000 0.5000 0.0000  2 B 2.04
Cl1 0.0000 0.0000 0.5000  4 Pb 2.89
Pb1 0.5000 0.5000 0.5000  4 Cl 2.89

Computed properties:
density of states at the Fermi level	5.41	states/eV/f.u.

*B*
DFT (PBE) results for a relaxed structure of BP2PbCl.

Unit cell a=5.6520 b=5.6520 c=5.7510 alpha=90.00 beta=90.00 gamma=90.00
Closest atoms and distances in Å follow each position.
Positions (direct):
B1 0.5000 0.5000 0.5000  4 Cl 4.00, 8 P 4.03
Pb1 0.0000 0.0000 0.0000  4 P 2.83, 2 Cl 2.88
P1 0.0000 0.5000 0.0000  2 Pb 2.83
P2 0.5000 0.0000 0.0000  2 Pb 2.83
Cl1 0.0000 0.0000 0.5000  2 Pb 2.88

Computed properties:
density of states at the Fermi level	3.70	states/eV/f.u.

*A* is favored, and the nearest alternative lies 1121 meV per atom above it.

*A*
DFT (PBE) results for a relaxed structure of ReBPCl2.

Unit cell a=4.9023 b=4.9023 c=4.5885 alpha=90.00 beta=90.00 gamma=90.00
Closest atoms and distances in Å follow each position.
Positions (direct):
Re1 0.0000 0.0000 0.0000  2 P 2.29, 4 Cl 2.45
Cl1 0.0000 0.5000 0.0000  2 Re 2.45
B1 0.5000 0.5000 0.5000  8 Cl 3.36, 4 P 3.47
P1 0.0000 0.0000 0.5000  2 Re 2.29
Cl2 0.5000 0.0000 0.0000  2 Re 2.45

Computed properties:
density of states at the Fermi level	3.57	states/eV/f.u.

*B*
DFT (PBE) results for a relaxed structure of ReBPCl2.

Unit cell a=4.0750 b=4.0750 c=4.3310 alpha=90.00 beta=90.00 gamma=90.00
Closest atoms and distances in Å follow each position.
Positions (direct):
Cl1 0.0000 0.5000 0.0000  2 B 2.04
B1 0.0000 0.0000 0.0000  4 Cl 2.04, 2 P 2.17
P1 0.0000 0.0000 0.5000  2 B 2.17
Re1 0.5000 0.5000 0.5000  4 P 2.88, 8 Cl 2.97
Cl2 0.5000 0.0000 0.0000  2 B 2.04

Computed properties:
density of states at the Fermi level	3.24	states/eV/f.u.

*A* is favored, and the nearest alternative lies 227 meV per atom above it.

*A*
DFT (PBE) results for a relaxed structure of BPRhCl2.

Unit cell a=6.4142 b=3.4467 c=11.4159 alpha=90.00 beta=109.42 gamma=90.00
Closest atoms and distances in Å follow each position.
Positions (direct):
B1 0.2424 0.5000 0.0466  1 Cl 1.73
Cl1 0.5288 0.5000 0.0992  1 B 1.73
Rh1 0.0526 0.0000 0.0459  2 B 2.11, 2 P 2.30
Rh2 0.0526 0.5000 0.5459  2 B 2.11, 2 P 2.30
Cl2 0.1410 0.0000 0.2687  1 P 2.26, 1 Rh 2.41
Cl3 0.5288 0.0000 0.5992  1 B 1.73
B2 0.2424 0.0000 0.5466  1 Cl 1.73
P1 0.9518 0.0000 0.4042  1 B 2.03, 1 Cl 2.26
Cl4 0.1410 0.5000 0.7687  1 P 2.26, 1 Rh 2.41
P2 0.9518 0.5000 0.9042  1 B 2.03, 1 Cl 2.26

Computed properties:
density of states at the Fermi level	0.87	states/eV/f.u.

*B*
DFT (PBE) results for a relaxed structure of BPRhCl2.

Unit cell a=3.3320 b=3.6109 c=8.5020 alpha=89.30 beta=82.41 gamma=76.16
Closest atoms and distances in Å follow each position.
Positions (direct):
Rh1 0.9976 0.2170 0.0642  1 B 2.02, 1 P 2.26
Cl1 0.6625 0.8899 0.8838  2 Rh 2.47-2.56
Cl2 0.5313 0.3272 0.4886  1 P 2.04
P1 0.5708 0.5590 0.2685  2 B 1.88-1.89, 1 Cl 2.04
B1 0.0410 0.7580 0.2058  2 P 1.88-1.89, 1 Rh 2.02

Computed properties:
density of states at the Fermi level	1.01	states/eV/f.u.

*C*
DFT (PBE) results for a relaxed structure of BPRhCl2.

Unit cell a=3.2395 b=3.7859 c=8.6420 alpha=80.47 beta=80.07 gamma=90.01
Closest atoms and distances in Å follow each position.
Positions (direct):
Rh1 0.3182 0.8229 0.9334  2 P 2.25-2.27, 2 Cl 2.37
P1 0.3861 0.3809 0.7861  2 B 1.93
B1 0.9208 0.1861 0.7105  1 Cl 1.77, 2 P 1.93
Cl1 0.0068 0.0440 0.5227  1 B 1.77
Cl2 0.7248 0.6738 0.1365  2 Rh 2.37

Computed properties:
density of states at the Fermi level	2.59	states/eV/f.u.

*D*
DFT (PBE) results for a relaxed structure of BPRhCl2.

Unit cell a=3.2499 b=3.7754 c=8.8769 alpha=83.23 beta=89.48 gamma=64.52
Closest atoms and distances in Å follow each position.
Positions (direct):
Cl1 0.1209 0.4520 0.5242  1 B 1.76
Cl2 0.4739 0.7160 0.1133  3 Rh 2.55-2.60
B1 0.2500 0.1845 0.7073  1 Cl 1.76, 2 P 1.92
Rh1 0.1480 0.3766 0.9419  1 B 2.26, 3 P 2.28-2.52
P1 0.8474 0.9848 0.8026  2 B 1.92

Computed properties:
density of states at the Fermi level	3.67	states/eV/f.u.

*D* is favored, and the nearest alternative lies 81 meV per atom above it.

*A*
DFT (PBE) results for a relaxed structure of BPRhCl2.

Unit cell a=3.7568 b=5.1302 c=5.8952 alpha=64.59 beta=79.75 gamma=85.97
Closest atoms and distances in Å follow each position.
Positions (direct):
Cl1 0.4049 0.3843 0.2593  1 B 1.85
Cl2 0.6900 0.7884 0.5374  1 B 1.84
P1 0.0252 0.1286 0.9466  1 B 1.91
B1 0.6387 0.0719 0.2211  2 Cl 1.84-1.85, 1 P 1.91
Rh1 0.5398 0.8976 0.9523  2 P 2.19-2.23, 1 B 2.22

Computed properties:
density of states at the Fermi level	2.31	states/eV/f.u.

*B*
DFT (PBE) results for a relaxed structure of BPRhCl2.

Unit cell a=3.5519 b=5.7306 c=6.3202 alpha=78.45 beta=74.42 gamma=89.81
Closest atoms and distances in Å follow each position.
Positions (direct):
B1 0.8458 0.7370 0.9693  2 Cl 1.77-1.81
P1 0.4147 0.1308 0.8253  2 Rh 2.19
Cl1 0.7355 0.4783 0.1976  1 B 1.81
Rh1 0.8128 0.0647 0.0396  1 B 2.01, 2 P 2.19
Cl2 0.9760 0.6724 0.6976  1 B 1.77

Computed properties:
density of states at the Fermi level	1.28	states/eV/f.u.

*A* is favored, and the nearest alternative lies 12 meV per atom above it.